CsK3Hg4Br12, relaxed, DFT GGA-PBE; space-group type = No. 155; formation energy (no corrections) = -19.14 eV/f.u.; DOS(E_F) = 0.000 states/eV/atom
1.0
10.266 0.023 0.032
-2.451 9.969 0.032
-2.451 -3.134 9.464
Cs K Hg Br
1 3 4 12
Direct
0.000 0.000 0.000
0.543 0.457 0.000
0.457 0.000 0.543
0.000 0.543 0.457
0.949 0.051 0.500
0.051 0.500 0.949
0.500 0.949 0.051
0.500 0.500 0.500
0.500 0.341 0.659
0.891 0.500 0.109
0.109 0.891 0.500
0.500 0.109 0.891
0.331 0.951 0.201
0.201 0.331 0.951
0.951 0.201 0.331
0.669 0.799 0.049
0.049 0.669 0.799
0.799 0.049 0.669
0.659 0.500 0.341
0.341 0.659 0.500

---

Cs2KHg2Br6, relaxed, DFT GGA-PBE; space-group type = No. 12; formation energy (no corrections) = -12.27 eV/f.u.; DOS(E_F) = 0.426 states/eV/atom
1.0
-4.920 -1.289 -6.617
7.633 -2.599 0.094
-5.833 -5.320 5.373
Cs K Hg Br
2 1 2 6
Direct
0.711 0.423 0.195
0.289 0.577 0.805
0.500 0.000 0.500
0.967 0.933 0.837
0.033 0.067 0.163
0.762 0.524 0.606
0.205 0.863 0.182
0.342 0.137 0.818
0.795 0.137 0.818
0.658 0.863 0.182
0.238 0.476 0.394

---

CsLaHg2Br8, relaxed, DFT GGA-PBE; space-group type = No. 2; formation energy (no corrections) = -14.11 eV/f.u.; DOS(E_F) = 0.000 states/eV/atom
1.0
-3.778 1.888 5.502
-4.916 -6.330 -1.662
2.011 -8.772 5.702
Cs La Hg Br
1 1 2 8
Direct
0.000 0.000 0.500
0.000 0.000 0.000
0.436 0.259 0.700
0.564 0.741 0.300
0.165 0.791 0.259
0.699 0.681 0.089
0.748 0.124 0.171
0.835 0.209 0.741
0.301 0.319 0.911
0.252 0.876 0.829
0.540 0.710 0.549
0.460 0.290 0.451

---

Cs2LaHgBr6, relaxed, DFT GGA-PBE; space-group type = No. 139; formation energy (no corrections) = -15.31 eV/f.u.; DOS(E_F) = 0.773 states/eV/atom
1.0
8.487 0.000 0.000
0.000 8.487 0.000
4.244 4.244 5.985
Cs Hg Br La
2 1 6 1
Direct
0.750 0.250 0.500
0.250 0.750 0.500
0.000 0.000 0.000
0.256 0.256 0.489
0.744 0.744 0.511
0.256 0.256 0.000
0.744 0.744 0.000
0.744 0.256 0.000
0.256 0.744 0.000
0.500 0.500 0.000

---

CsLiHgBr2, relaxed, DFT GGA-PBE; space-group type = No. 123; formation energy (no corrections) = -6.01 eV/f.u.; DOS(E_F) = 0.000 states/eV/atom
1.0
5.515 0.000 0.000
0.000 5.515 0.000
0.000 0.000 5.460
Cs Hg Br Li
1 1 2 1
Direct
0.500 0.500 0.500
0.000 0.000 0.500
0.000 0.500 0.000
0.500 0.000 0.000
0.000 0.000 0.000

---

Cs2LiHgBr4, relaxed, DFT GGA-PBE; space-group type = No. 70; formation energy (no corrections) = -10.11 eV/f.u.; DOS(E_F) = 0.567 states/eV/atom
1.0
6.649 0.000 0.000
3.324 7.608 0.000
3.324 0.000 12.783
Cs Li Hg Br
4 2 2 8
Direct
0.180 0.000 0.640
0.820 0.000 0.360
0.570 0.500 0.860
0.930 0.500 0.140
0.750 0.500 0.500
0.000 0.000 0.000
0.250 0.500 0.500
0.500 0.000 0.000
0.248 0.784 0.115
0.148 0.216 0.885
0.968 0.784 0.885
0.636 0.216 0.115
0.502 0.716 0.385
0.602 0.284 0.615
0.782 0.716 0.615
0.114 0.284 0.385

---

Cs3Li2HgBr6, relaxed, DFT GGA-PBE; space-group type = No. 164; formation energy (no corrections) = -15.99 eV/f.u.; DOS(E_F) = 0.457 states/eV/atom
1.0
8.274 0.000 0.000
-4.137 7.165 0.000
0.000 0.000 9.326
Cs Li Hg Br
3 2 1 6
Direct
0.333 0.667 0.625
0.667 0.333 0.375
0.000 0.000 0.000
0.667 0.333 0.769
0.333 0.667 0.231
0.000 0.000 0.500
0.660 0.830 0.287
0.170 0.340 0.287
0.170 0.830 0.287
0.830 0.660 0.713
0.340 0.170 0.713
0.830 0.170 0.713

---

Cs3LiHg2Br9, relaxed, DFT GGA-PBE; space-group type = No. 164; formation energy (no corrections) = -15.95 eV/f.u.; DOS(E_F) = 0.876 states/eV/atom
1.0
7.867 0.000 0.000
-3.933 6.813 0.000
0.000 0.000 9.731
Cs Li Hg Br
3 1 2 9
Direct
0.333 0.667 0.660
0.000 0.000 0.000
0.667 0.333 0.340
0.000 0.000 0.500
0.333 0.667 0.178
0.667 0.333 0.822
0.837 0.163 0.668
0.837 0.674 0.668
0.326 0.163 0.668
0.674 0.837 0.332
0.163 0.326 0.332
0.163 0.837 0.332
0.500 0.000 0.000
0.000 0.500 0.000
0.500 0.500 0.000

---

CsLiHg2Br6, relaxed, DFT GGA-PBE; space-group type = No. 1; formation energy (no corrections) = -9.16 eV/f.u.; DOS(E_F) = 0.000 states/eV/atom
1.0
-0.181 1.564 7.277
-5.244 -4.352 -3.006
6.564 -6.339 -2.288
Cs Li Hg Br
1 1 2 6
Direct
0.997 0.498 0.480
0.998 0.998 0.981
0.444 0.721 0.152
0.549 0.274 0.808
0.568 0.938 0.782
0.425 0.057 0.179
0.825 0.767 0.178
0.135 0.366 0.179
0.858 0.629 0.781
0.167 0.228 0.782

---

Cs3MgHg2Br9, relaxed, DFT GGA-PBE; space-group type = No. 164; formation energy (no corrections) = -17.61 eV/f.u.; DOS(E_F) = 0.493 states/eV/atom
1.0
7.914 0.000 0.000
-3.957 6.854 0.000
0.000 0.000 9.710
Cs Mg Hg Br
3 1 2 9
Direct
0.333 0.667 0.665
0.000 0.000 0.000
0.667 0.333 0.335
0.000 0.000 0.500
0.333 0.667 0.173
0.667 0.333 0.827
0.838 0.162 0.661
0.838 0.676 0.661
0.324 0.162 0.661
0.676 0.838 0.339
0.162 0.324 0.339
0.162 0.838 0.339
0.500 0.000 0.000
0.000 0.500 0.000
0.500 0.500 0.000

---

CsMgHgBr2, relaxed, DFT GGA-PBE; space-group type = No. 123; formation energy (no corrections) = -4.97 eV/f.u.; DOS(E_F) = 0.471 states/eV/atom
1.0
5.739 0.000 0.000
0.000 5.739 0.000
0.000 0.000 5.597
Cs Mg Hg Br
1 1 1 2
Direct
0.500 0.500 0.500
0.000 0.000 0.000
0.000 0.000 0.500
0.000 0.500 0.000
0.500 0.000 0.000

---

CsMgHgBr5, relaxed, DFT GGA-PBE; space-group type = No. 15; formation energy (no corrections) = -9.25 eV/f.u.; DOS(E_F) = 0.000 states/eV/atom
1.0
-3.333 -0.792 7.272
3.239 -7.122 -1.843
8.134 5.665 1.931
Cs Mg Hg Br
2 2 2 10
Direct
0.344 0.656 0.250
0.656 0.344 0.750
0.000 0.000 0.500
0.000 0.000 0.000
0.689 0.311 0.250
0.311 0.689 0.750
0.059 0.941 0.250
0.941 0.059 0.750
0.912 0.298 0.087
0.088 0.702 0.913
0.702 0.088 0.413
0.298 0.912 0.587
0.772 0.632 0.448
0.228 0.368 0.552
0.368 0.228 0.052
0.632 0.772 0.948